This record from Alexandria via LeMat-Bulk describes a relaxed Ca2DyThAs4 crystal. The functional is PBE.

Cell lengths 7.3218, 4.2543, 7.3249 Å; angles 90.00, 109.63, 90.00 degrees
Closest atoms and distances in Å follow each position.
Positions (direct):
Ca 0.0000 0.0000 0.0000  6 As 3.02
Ca 0.5000 0.5000 0.0000  6 As 3.05
Dy 0.0000 0.5000 0.5000  6 As 2.94
Th 0.5000 0.0000 0.5000  6 As 2.97
As 0.2428 0.0000 0.7387  2 Dy 2.94, 1 Th 2.97, 3 Ca 3.02-3.05
As 0.2495 0.5000 0.2588  1 Dy 2.94, 2 Th 2.97, 3 Ca 3.02-3.05
As 0.7505 0.5000 0.7412  1 Dy 2.94, 2 Th 2.97, 3 Ca 3.02-3.05
As 0.7572 0.0000 0.2613  2 Dy 2.94, 1 Th 2.97, 3 Ca 3.02-3.05

Properties
DOS at the Fermi energy = 6.73 states/eV/cell
Energy relative to the elements = -1.2715 eV per atom
Space-group type = P2/m, No. 10